Record 1
A geometry-optimized La8YTm4 structure, computed with GGA-PBE.

Structure (extended XYZ):
```
13
Lattice="3.594 2.075 10.088 -3.594 2.075 10.088 0.000 -4.150 10.088" Properties=species:S:1:pos:R:3 pbc="T T T"
La 0.000 0.000 6.339
La -1.955 -1.129 17.316
La 0.000 -2.258 12.949
La -1.955 1.129 12.949
La 1.955 -1.129 17.316
La 0.000 2.258 17.316
La 1.955 1.129 12.948
La 0.000 0.000 23.926
Y 0.000 0.000 15.132
Tm 0.000 0.000 0.000
Tm -1.797 -1.037 10.088
Tm -1.797 1.037 20.177
Tm 0.000 2.075 10.088
```

Fermi-level density of states (states/eV per cell): 17.4
Crystal system: trigonal
E_tot (eV/atom): -4.732
Spin magnetization (μB/cell): 0.000
Energy relative to the elements (meV per atom): 173.4

***

Record 2
A geometry-optimized Nb5SnS8 structure, computed with GGA-PBE.

Structure (extended XYZ):
```
14
Lattice="0.000 5.291 5.291 5.291 0.000 5.291 5.291 5.291 0.000" Properties=species:S:1:pos:R:3 pbc="T T T"
Nb 0.000 0.000 0.000
Nb 6.430 4.151 4.151
Nb 4.151 6.430 4.151
Nb 4.151 4.151 6.430
Nb 6.430 6.430 6.430
Sn 2.645 2.645 2.645
S 4.048 4.048 4.048
S 6.533 6.533 4.048
S 6.533 4.048 6.533
S 9.174 6.697 6.697
S 4.048 6.533 6.533
S 6.697 9.174 6.697
S 6.697 6.697 9.174
S 9.174 9.174 9.174
```

Fermi-level density of states (states/eV per cell): 12.5
Crystal system: cubic
Energy relative to the elements, uncorrected (eV/atom): -0.648
E_tot (eV/atom): -6.889
Spin magnetization (μB/cell): 1.408

***

- spin magnetization of number 2 (Nb5SnS8)?
  1.408 μB/cell